# Tm10Ga3Bi3

An optimized crystal structure of Tm10Ga3Bi3 (PBE, Alexandria).

a b c (Å): 6.4556 8.7336 8.7336
angles (deg): 120.00 90.00 90.00
Element x y z (fractional)
Tm: 0.0000 0.2375 0.0000
Tm: 0.0000 0.7625 0.7625
Tm: 0.2356 0.6667 0.3333
Tm: 0.2356 0.3333 0.6667
Tm: 0.0000 0.0000 0.2375
Tm: 0.7644 0.3333 0.6667
Tm: 0.5000 0.7658 0.0000
Tm: 0.5000 0.0000 0.7658
Tm: 0.7644 0.6667 0.3333
Tm: 0.5000 0.2342 0.2342
Bi: 0.5000 0.0000 0.4001
Bi: 0.5000 0.4001 0.0000
Bi: 0.5000 0.5999 0.5999
Ga: 0.0000 0.0000 0.6076
Ga: 0.0000 0.3924 0.3924
Ga: 0.0000 0.6076 0.0000

Summary:
Theoretical density, Mg/m³: 9.834
M_tot, Bohr magnetons per cell: 0.000
Crystal system: hexagonal
ΔE_f, eV/atom: -0.57



# Y2ErU2Ru5

An optimized crystal structure of Y2ErU2Ru5 (PBE, Alexandria).

a b c (Å): 3.5911 10.5925 10.5925
angles (deg): 90.00 90.00 90.00
Element x y z (fractional)
Ru: 0.5000 0.5000 0.0000
Ru: 0.5000 0.7879 0.9461
Ru: 0.5000 0.4461 0.2879
Ru: 0.5000 0.5539 0.7121
Ru: 0.5000 0.0539 0.7879
Ru: 0.5000 0.7121 0.4461
Ru: 0.5000 0.9461 0.2121
Ru: 0.5000 0.2879 0.5539
Ru: 0.5000 0.0000 0.5000
Ru: 0.5000 0.2121 0.0539
U: 0.0000 0.1350 0.6350
U: 0.0000 0.8650 0.3650
U: 0.0000 0.6350 0.8650
U: 0.0000 0.3650 0.1350
Y: 0.0000 0.8254 0.6746
Y: 0.0000 0.3254 0.8254
Y: 0.0000 0.6746 0.1746
Y: 0.0000 0.1746 0.3254
Er: 0.0000 0.5000 0.5000
Er: 0.0000 0.0000 0.0000

Summary:
Theoretical density, Mg/m³: 10.933
M_tot, Bohr magnetons per cell: 0.000
Crystal system: tetragonal
ΔE_f, eV/atom: -0.29



# Al2NiPd3

An optimized crystal structure of Al2NiPd3 (PBE, Alexandria).

a b c (Å): 5.1587 5.2024 7.4854
angles (deg): 110.33 110.16 90.00
Element x y z (fractional)
Pd: 0.4332 0.6802 0.3605
Pd: 0.5668 0.3198 0.6395
Pd: 0.0728 0.8198 0.6395
Pd: 0.5000 0.7500 0.0000
Pd: 0.5000 0.2500 0.0000
Pd: 0.9272 0.1802 0.3605
Al: 0.3647 0.1297 0.2595
Al: 0.1052 0.3703 0.7405
Al: 0.6353 0.8703 0.7405
Al: 0.8948 0.6297 0.2595
Ni: 0.0000 0.2500 0.0000
Ni: 0.0000 0.7500 0.0000

Summary:
Theoretical density, Mg/m³: 8.188
M_tot, Bohr magnetons per cell: 0.000
Crystal system: orthorhombic
ΔE_f, eV/atom: -0.63



# YErO3

An optimized crystal structure of YErO3 (PBE, Alexandria).

a b c (Å): 3.0413 5.9373 5.9370
angles (deg): 60.01 90.00 90.00
Element x y z (fractional)
O: 0.7201 0.2678 0.7257
O: 0.7202 0.7629 0.2303
O: 0.7202 0.2677 0.2304
Y: 0.2202 0.0994 0.0622
Er: 0.2201 0.4328 0.3955

Summary:
Theoretical density, Mg/m³: 5.440
M_tot, Bohr magnetons per cell: 0.000
Crystal system: hexagonal
Formation energy from raw total energies, meV per atom: -3387



# BeReBr2

An optimized crystal structure of BeReBr2 (PBE, Alexandria).

a b c (Å): 4.1705 4.1705 8.0859
angles (deg): 77.26 77.26 44.90
Element x y z (fractional)
Br: 0.1398 0.1398 0.3496
Br: 0.9789 0.9789 0.8735
Re: 0.5609 0.5609 0.5975
Be: 0.8204 0.8204 0.6794

Summary:
Theoretical density, Mg/m³: 6.115
E above lowest polymorph, meV per atom: 238.9
M_tot, Bohr magnetons per cell: 0.425
Crystal system: monoclinic
Formation energy from raw total energies, meV per atom: 393



# Tm3BeP2Rh9

An optimized crystal structure of Tm3BeP2Rh9 (PBE, Alexandria).

a b c (Å): 6.1631 6.1631 7.5075
angles (deg): 90.00 90.00 120.00
Element x y z (fractional)
Rh: 0.1612 0.8388 0.3344
Rh: 0.6776 0.8388 0.3344
Rh: 0.5000 0.5000 0.0000
Rh: 0.8388 0.6776 0.6656
Rh: 0.5000 0.0000 0.0000
Rh: 0.1612 0.3224 0.3344
Rh: 0.0000 0.5000 0.0000
Rh: 0.8388 0.1612 0.6656
Rh: 0.3224 0.1612 0.6656
Tm: 0.0000 0.0000 0.0000
Tm: 0.6667 0.3333 0.3415
Tm: 0.3333 0.6667 0.6585
P: 0.6667 0.3333 0.8204
P: 0.3333 0.6667 0.1796
Be: 0.0000 0.0000 0.5000

Summary:
Theoretical density, Mg/m³: 10.112
M_tot, Bohr magnetons per cell: 0.000
Crystal system: trigonal
ΔE_f, eV/atom: -0.77



# TlAgOs2

An optimized crystal structure of TlAgOs2 (PBE, Alexandria).

a b c (Å): 5.2384 5.2384 5.2384
angles (deg): 135.94 135.94 64.08
Element x y z (fractional)
Ag: 0.7500 0.2500 0.5000
Tl: 0.2500 0.7500 0.5000
Os: 0.0000 0.0000 0.0000
Os: 0.5000 0.5000 0.0000

Summary:
Theoretical density, Mg/m³: 16.773
E above lowest polymorph, meV per atom: 623.3
M_tot, Bohr magnetons per cell: 0.008
Crystal system: tetragonal
ΔE_f, eV/atom: 1.14



# PmInHg

An optimized crystal structure of PmInHg (PBE, Alexandria).

a b c (Å): 4.9548 4.9548 4.9548
angles (deg): 60.00 60.00 60.00
Element x y z (fractional)
In: 0.0000 0.0000 0.0000
Pm: 0.5000 0.5000 0.5000
Hg: 0.2500 0.2500 0.2500

Summary:
Theoretical density, Mg/m³: 8.889
E above lowest polymorph, meV per atom: 27.2
M_tot, Bohr magnetons per cell: 0.000
Crystal system: cubic
ΔE_f, eV/atom: -0.45



# Sr3PuTl12

An optimized crystal structure of Sr3PuTl12 (PBE, Alexandria).

a b c (Å): 4.9868 4.9868 19.3950
angles (deg): 90.00 90.00 90.00
Element x y z (fractional)
Sr: 0.0000 0.0000 0.2439
Sr: 0.0000 0.0000 0.5000
Sr: 0.0000 0.0000 0.7561
Pu: 0.0000 0.0000 0.0000
Tl: 0.5000 0.5000 0.7515
Tl: 0.5000 0.5000 0.2485
Tl: 0.5000 0.0000 0.3724
Tl: 0.0000 0.5000 0.6276
Tl: 0.5000 0.0000 0.6276
Tl: 0.5000 0.0000 0.1175
Tl: 0.0000 0.5000 0.1175
Tl: 0.5000 0.5000 0.0000
Tl: 0.0000 0.5000 0.3724
Tl: 0.5000 0.0000 0.8825
Tl: 0.5000 0.5000 0.5000
Tl: 0.0000 0.5000 0.8825

Summary:
Theoretical density, Mg/m³: 10.189
M_tot, Bohr magnetons per cell: 6.209
Crystal system: tetragonal
ΔE_f, eV/atom: -0.19



# MgPd2Pt5

An optimized crystal structure of MgPd2Pt5 (PBE, Alexandria).

a b c (Å): 3.9339 3.9339 8.4786
angles (deg): 103.41 103.41 90.00
Element x y z (fractional)
Pt: 0.8770 0.3770 0.7540
Pt: 0.3770 0.8770 0.7540
Pt: 0.6230 0.1230 0.2460
Pt: 0.5000 0.5000 0.0000
Pt: 0.1230 0.6230 0.2460
Pd: 0.7465 0.7465 0.4930
Pd: 0.2535 0.2535 0.5070
Mg: 0.0000 0.0000 0.0000

Summary:
Theoretical density, Mg/m³: 16.245
E above lowest polymorph, meV per atom: 0.0
M_tot, Bohr magnetons per cell: 0.000
Crystal system: tetragonal
ΔE_f, eV/atom: -0.33



# Hf2Mn2GaCo5

An optimized crystal structure of Hf2Mn2GaCo5 (PBE, Alexandria).

a b c (Å): 3.5304 8.7419 8.7419
angles (deg): 90.00 90.00 90.00
Element x y z (fractional)
Ga: 0.0000 0.0000 0.0000
Ga: 0.0000 0.5000 0.5000
Co: 0.5000 0.5626 0.7079
Co: 0.5000 0.0626 0.7921
Co: 0.5000 0.7921 0.9374
Co: 0.5000 0.5000 0.0000
Co: 0.5000 0.2921 0.5626
Co: 0.5000 0.0000 0.5000
Co: 0.5000 0.9374 0.2079
Co: 0.5000 0.7079 0.4374
Co: 0.5000 0.4374 0.2921
Co: 0.5000 0.2079 0.0626
Hf: 0.0000 0.1779 0.3221
Hf: 0.0000 0.6779 0.1779
Hf: 0.0000 0.8221 0.6779
Hf: 0.0000 0.3221 0.8221
Mn: 0.0000 0.8802 0.3802
Mn: 0.0000 0.3802 0.1198
Mn: 0.0000 0.1198 0.6198
Mn: 0.0000 0.6198 0.8802

Summary:
Theoretical density, Mg/m³: 10.232
M_tot, Bohr magnetons per cell: 14.845
Crystal system: tetragonal
ΔE_f, eV/atom: -0.12



# K2RbCaBr5

An optimized crystal structure of K2RbCaBr5 (PBE, Alexandria).

a b c (Å): 5.5547 8.0179 9.3675
angles (deg): 115.34 107.25 90.00
Element x y z (fractional)
Br: 0.3683 0.6195 0.7367
Br: 0.0000 0.0000 0.0000
Br: 0.3683 0.1171 0.7367
Br: 0.6317 0.8829 0.2633
Br: 0.6317 0.3805 0.2633
K: 0.7931 0.7931 0.5862
K: 0.2069 0.2069 0.4138
Ca: 0.5000 0.0000 0.0000
Rb: 0.0000 0.5000 0.0000

Summary:
Theoretical density, Mg/m³: 2.812
M_tot, Bohr magnetons per cell: 0.000
Crystal system: orthorhombic
Formation energy from raw total energies, meV per atom: -1821